Record 1
Ac3OsBr2: optimized geometry, PBE.

Unit cell a=4.3799 b=6.1063 c=8.8214 alpha=110.25 beta=104.37 gamma=90.00
Last column: nearest neighbours and their distance in Å.
Atoms (fractional coordinates):
Ac1 0.6227 0.6227 0.2454  2 Os 2.94, 2 Br 3.25
Ac2 0.0000 0.0000 0.0000  2 Os 3.05
Ac3 0.3773 0.3773 0.7546  2 Os 2.94, 2 Br 3.25
Os1 0.0000 0.5000 0.0000  6 Ac 2.94-3.05
Br1 0.3068 0.8068 0.6135  2 Ac 3.25
Br2 0.6932 0.1932 0.3865  2 Ac 3.25

Properties
Formation energy without anion corrections in eV per atom: -0.921
Crystal system: orthorhombic
Total magnetization in μB/cell: 0.0
E in eV per atom: -5.40



Record 2
ZnSeCl: optimized geometry, PBE.

Unit cell a=7.5040 b=7.5040 c=7.5040 alpha=156.04 beta=156.04 gamma=34.13
Last column: nearest neighbours and their distance in Å.
Atoms (fractional coordinates):
Cl1 0.0551 0.0551 0.0000  4 Zn 2.66
Se1 0.2862 0.2862 0.0000  4 Zn 2.86, 4 Se 3.11
Zn1 0.6587 0.6587 0.0000  4 Cl 2.66, 4 Se 2.86

Properties
Formation energy without anion corrections in eV per atom: -0.183
Crystal system: tetragonal
Total magnetization in μB/cell: 0.0
E in eV per atom: -2.38



Record 3
HfBP2Pt: optimized geometry, PBE.

Unit cell a=4.9241 b=5.0642 c=4.9241 alpha=90.00 beta=90.00 gamma=90.00
Last column: nearest neighbours and their distance in Å.
Atoms (fractional coordinates):
P1 0.0000 0.0000 0.5000  2 Hf 2.46
P2 0.5000 0.0000 0.0000  2 Hf 2.46
B1 0.5000 0.5000 0.5000  4 Pt 3.48, 8 P 3.53
Hf1 0.0000 0.0000 0.0000  4 P 2.46, 2 Pt 2.53
Pt1 0.0000 0.5000 0.0000  2 Hf 2.53

Properties
Crystal system: tetragonal
Total magnetization in μB/cell: 0.0
E in eV per atom: -5.27
Formation enthalpy at 0 K in eV/atom: 1.433



Record 4
Tl2SbCl: optimized geometry, PBE.

Unit cell a=5.4216 b=5.4216 c=5.4216 alpha=60.00 beta=60.00 gamma=60.00
Last column: nearest neighbours and their distance in Å.
Atoms (fractional coordinates):
Sb1 0.5000 0.5000 0.5000  8 Tl 3.32
Tl1 0.2500 0.2500 0.2500  4 Cl 3.32, 4 Sb 3.32
Tl2 0.7500 0.7500 0.7500  4 Cl 3.32, 4 Sb 3.32
Cl1 0.0000 0.0000 0.0000  8 Tl 3.32

Properties
Formation energy without anion corrections in eV per atom: -0.268
Crystal system: cubic
Total magnetization in μB/cell: 0.0
E in eV per atom: -2.94
Distance to the lowest polymorph of the same formula in eV/atom: 0.0847



Record 5
PuInCoCu: optimized geometry, PBE.

Unit cell a=4.6738 b=4.6738 c=4.6738 alpha=60.00 beta=60.00 gamma=60.00
Last column: nearest neighbours and their distance in Å.
Atoms (fractional coordinates):
In1 0.0000 0.0000 0.0000  4 Co 2.86, 4 Cu 2.86
Co1 0.2500 0.2500 0.2500  4 In 2.86, 4 Pu 2.86
Cu1 0.7500 0.7500 0.7500  4 Pu 2.86, 4 In 2.86
Pu1 0.5000 0.5000 0.5000  4 Cu 2.86, 4 Co 2.86

Properties
Crystal system: cubic
Total magnetization in μB/cell: 4.1
E in eV per atom: -7.02
Formation enthalpy at 0 K in eV/atom: 0.049



Record 6
TmScZnMo: optimized geometry, PBE.

Unit cell a=4.8063 b=4.8063 c=4.8063 alpha=60.00 beta=60.00 gamma=60.00
Last column: nearest neighbours and their distance in Å.
Atoms (fractional coordinates):
Sc1 0.0000 0.0000 0.0000  4 Mo 2.94, 4 Zn 2.94
Mo1 0.2500 0.2500 0.2500  4 Tm 2.94, 4 Sc 2.94
Tm1 0.5000 0.5000 0.5000  4 Zn 2.94, 4 Mo 2.94
Zn1 0.7500 0.7500 0.7500  4 Tm 2.94, 4 Sc 2.94

Properties
Crystal system: cubic
Total magnetization in μB/cell: 0.0
E in eV per atom: -5.69
Formation enthalpy at 0 K in eV/atom: 0.036



Record 7
La2GdCd: optimized geometry, PBE.

Unit cell a=5.6558 b=5.6558 c=5.6558 alpha=60.00 beta=60.00 gamma=60.00
Last column: nearest neighbours and their distance in Å.
Atoms (fractional coordinates):
Cd1 0.5000 0.5000 0.5000  8 La 3.46
Gd1 0.0000 0.0000 0.0000  8 La 3.46
La1 0.2500 0.2500 0.2500  4 Gd 3.46, 4 Cd 3.46
La2 0.7500 0.7500 0.7500  4 Gd 3.46, 4 Cd 3.46

Properties
Crystal system: cubic
Total magnetization in μB/cell: 7.8
E in eV per atom: -6.29
Formation enthalpy at 0 K in eV/atom: -0.073
Distance to the lowest polymorph of the same formula in eV/atom: 0.0724



Record 8
CoPPt2: optimized geometry, PBE.

Unit cell a=3.3252 b=2.8177 c=6.0382 alpha=76.51 beta=90.00 gamma=90.00
Last column: nearest neighbours and their distance in Å.
Atoms (fractional coordinates):
Co1 0.0000 0.5292 0.5663  4 P 2.28-2.29
P1 0.5000 0.9709 0.6833  4 Co 2.28-2.29, 3 Pt 2.37
Pt1 0.0000 0.8274 0.9701  2 P 2.37
Pt2 0.5000 0.1725 0.2803  1 P 2.37

Properties
Crystal system: orthorhombic
Total magnetization in μB/cell: 0.0
E in eV per atom: -6.42
Formation enthalpy at 0 K in eV/atom: -0.267



Record 9
RbBa2HgO: optimized geometry, PBE.

Unit cell a=6.9356 b=5.8411 c=6.9356 alpha=90.00 beta=90.00 gamma=90.00
Last column: nearest neighbours and their distance in Å.
Atoms (fractional coordinates):
O1 0.5000 0.5000 0.5000  8 Ba 4.53, 4 Hg 4.90
Hg1 0.0000 0.5000 0.0000  2 Rb 2.92
Rb1 0.0000 0.0000 0.0000  2 Hg 2.92
Ba1 0.0000 0.0000 0.5000  2 Rb 3.47
Ba2 0.5000 0.0000 0.0000  2 Rb 3.47

Properties
Formation energy without anion corrections in eV per atom: 0.790
Crystal system: tetragonal
Total magnetization in μB/cell: 0.0
E in eV per atom: -1.22
Distance to the lowest polymorph of the same formula in eV/atom: 1.8001



Record 10
Na3TmBi2O6: optimized geometry, PBE.

Unit cell a=6.0444 b=6.0444 c=6.0034 alpha=99.66 beta=99.66 gamma=120.04
Last column: nearest neighbours and their distance in Å.
Atoms (fractional coordinates):
Na1 0.1644 0.8356 0.5000  6 O 2.51-2.66
Na2 0.8356 0.1644 0.5000  6 O 2.51-2.66
Na3 0.5000 0.5000 0.5000  6 O 2.51-2.65
Tm1 0.0000 0.0000 0.0000  6 O 2.27-2.28
Bi1 0.3333 0.6667 0.0000  6 O 2.41-2.43
Bi2 0.6667 0.3333 0.0000  6 O 2.41-2.43
O1 0.9256 0.6113 0.7777  1 Tm 2.28, 2 Bi 2.42-2.43, 2 Na 2.51
O2 0.7580 0.7580 0.2191  1 Tm 2.27, 2 Bi 2.41, 2 Na 2.51
O3 0.0744 0.3887 0.2223  1 Tm 2.28, 2 Bi 2.42-2.43, 2 Na 2.51
O4 0.6113 0.9256 0.7777  1 Tm 2.28, 2 Bi 2.42-2.43, 2 Na 2.51
O5 0.2420 0.2420 0.7809  1 Tm 2.27, 2 Bi 2.41, 2 Na 2.51
O6 0.3887 0.0744 0.2223  1 Tm 2.28, 2 Bi 2.42-2.43, 2 Na 2.51

Properties
Formation energy without anion corrections in eV per atom: -1.839
Crystal system: monoclinic
Total magnetization in μB/cell: 0.0
E in eV per atom: -5.67



Record 11
Na2LiCaF: optimized geometry, PBE.

Unit cell a=6.8020 b=6.1254 c=6.8020 alpha=90.00 beta=90.00 gamma=90.00
Last column: nearest neighbours and their distance in Å.
Atoms (fractional coordinates):
Na1 0.0000 0.0000 0.5000  2 Ca 3.40
Na2 0.5000 0.0000 0.0000  2 Ca 3.40
Ca1 0.0000 0.0000 0.0000  2 Li 3.06, 4 Na 3.40
Li1 0.0000 0.5000 0.0000  2 Ca 3.06
F1 0.5000 0.5000 0.5000  8 Na 4.58, 4 Li 4.81

Properties
Formation energy without anion corrections in eV per atom: 0.251
Crystal system: tetragonal
Total magnetization in μB/cell: 1.7
E in eV per atom: -1.43



Record 12
Tm4Cd5Pt2: optimized geometry, PBE.

Unit cell a=3.5419 b=7.6397 c=9.7087 alpha=94.00 beta=90.00 gamma=90.00
Last column: nearest neighbours and their distance in Å.
Atoms (fractional coordinates):
Tm1 0.5000 0.7798 0.5531  4 Pt 2.89-2.93
Tm2 0.5000 0.1672 0.8556  2 Pt 2.78
Tm3 0.5000 0.2202 0.4469  4 Pt 2.89-2.93
Tm4 0.5000 0.8328 0.1444  2 Pt 2.78
Cd1 0.0000 0.5431 0.3207  1 Pt 2.94, 2 Cd 3.08-3.11
Cd2 0.0000 0.1878 0.1490  2 Cd 2.87-3.08, 1 Pt 2.93
Cd3 0.0000 0.5000 0.0000  4 Cd 2.87-3.11
Cd4 0.0000 0.8122 0.8510  2 Cd 2.87-3.08, 1 Pt 2.93
Cd5 0.0000 0.4569 0.6793  1 Pt 2.94, 2 Cd 3.08-3.11
Pt1 0.0000 0.0715 0.6423  6 Tm 2.78-2.93, 1 Pt 2.90, 2 Cd 2.93-2.94
Pt2 0.0000 0.9285 0.3577  6 Tm 2.78-2.93, 1 Pt 2.90, 2 Cd 2.93-2.94

Properties
Crystal system: monoclinic
Total magnetization in μB/cell: 0.0
E in eV per atom: -3.78
Formation enthalpy at 0 K in eV/atom: -0.637



Record 13
Ca3CoC3: optimized geometry, PBE.

Unit cell a=3.5004 b=4.9597 c=14.3597 alpha=90.00 beta=90.00 gamma=110.66
Last column: nearest neighbours and their distance in Å.
Atoms (fractional coordinates):
Ca1 0.2457 0.4915 0.8894  5 C 2.62-2.76, 1 Co 2.84
Ca2 0.7543 0.5085 0.1106  5 C 2.62-2.76, 1 Co 2.84
Ca3 0.2457 0.4915 0.6106  5 C 2.62-2.76, 1 Co 2.84
Ca4 0.7543 0.5085 0.3894  5 C 2.62-2.76, 1 Co 2.84
Ca5 0.4940 0.9880 0.7500  3 C 2.55-2.72
Ca6 0.5060 0.0120 0.2500  3 C 2.55-2.72
Co1 0.5000 0.0000 0.0000  4 C 1.89
Co2 0.5000 0.0000 0.5000  4 C 1.89
C1 0.9370 0.8741 0.9720  1 C 1.42
C2 0.0630 0.1259 0.0280  1 C 1.42
C3 0.9370 0.8741 0.5280  1 C 1.42
C4 0.0630 0.1259 0.4720  1 C 1.42
C5 0.7690 0.5380 0.7500  7 Ca 2.55-2.72
C6 0.2310 0.4620 0.2500  7 Ca 2.55-2.72

Properties
Crystal system: orthorhombic
Total magnetization in μB/cell: 1.3
E in eV per atom: -5.54
Formation enthalpy at 0 K in eV/atom: 0.287